1.
# CsTl2CoPt, relaxed, DFT PBE
# - Calculated volume: 186.20 Å³/cell
# - Formation energy: 642 meV/atom
# - DFT total energy: -3.10 eV/atom
# - Density: 7.10 g cm⁻³
# - SG: P4/mmm (123)
data_CsTl2CoPt
_symmetry_space_group_name_H-M 'P 1'
_symmetry_Int_Tables_number 1
_symmetry_space_group_name_Hall 'P 1'
_cell_length_a 5.340
_cell_length_b 6.530
_cell_length_c 5.340
_cell_angle_alpha 90.00
_cell_angle_beta 90.00
_cell_angle_gamma 90.00
loop_
_atom_site_label
_atom_site_fract_x
_atom_site_fract_y
_atom_site_fract_z
Cs1 0.000 0.500 0.000
Co1 0.500 0.500 0.500
Pt1 0.000 0.000 0.000
Tl1 0.500 0.000 0.000
Tl2 0.000 0.000 0.500

=====

2.
# Cs3CaSn2Cl9, relaxed, DFT PBE
# - Calculated volume: 522.80 Å³/cell
# - DFT total energy: -3.66 eV/atom
# - Density: 3.16 g cm⁻³
# - SG: P-3m1 (164)
data_Cs3CaSn2Cl9
_symmetry_space_group_name_H-M 'P 1'
_symmetry_Int_Tables_number 1
_symmetry_space_group_name_Hall 'P 1'
_cell_length_a 7.900
_cell_length_b 7.900
_cell_length_c 9.674
_cell_angle_alpha 90.00
_cell_angle_beta 90.00
_cell_angle_gamma 120.00
loop_
_atom_site_label
_atom_site_fract_x
_atom_site_fract_y
_atom_site_fract_z
Cl1 0.500 0.000 0.000
Cl2 0.000 0.500 0.000
Sn1 0.667 0.333 0.831
Cl3 0.500 0.500 0.000
Cl4 0.837 0.673 0.663
Cs1 0.333 0.667 0.665
Cl5 0.837 0.163 0.663
Sn2 0.333 0.667 0.169
Ca1 0.000 0.000 0.500
Cl6 0.163 0.327 0.337
Cl7 0.163 0.837 0.337
Cs2 0.667 0.333 0.335
Cl8 0.327 0.163 0.663
Cl9 0.673 0.837 0.337
Cs3 0.000 0.000 0.000

=====

3.
# NaCu2TeCl8, relaxed, DFT PBE
# - Calculated volume: 344.02 Å³/cell
# - DFT total energy: -3.02 eV/atom
# - Density: 2.71 g cm⁻³
# - SG: P-1 (2)
data_NaCu2TeCl8
_symmetry_space_group_name_H-M 'P 1'
_symmetry_Int_Tables_number 1
_symmetry_space_group_name_Hall 'P 1'
_cell_length_a 6.723
_cell_length_b 6.747
_cell_length_c 7.988
_cell_angle_alpha 74.60
_cell_angle_beta 88.50
_cell_angle_gamma 99.10
loop_
_atom_site_label
_atom_site_fract_x
_atom_site_fract_y
_atom_site_fract_z
Cl1 0.114 0.766 0.276
Cl2 0.886 0.234 0.724
Cl3 0.363 0.238 0.957
Cl4 0.589 0.734 0.535
Cl5 0.119 0.782 0.816
Cu1 0.539 0.586 0.312
Cl6 0.881 0.218 0.184
Cl7 0.637 0.762 0.043
Cu2 0.461 0.414 0.688
Na1 0.000 0.000 0.500
Cl8 0.411 0.266 0.465
Te1 0.000 0.000 0.000

=====

4.
# SrSc2Ir, relaxed, DFT PBE
# - Calculated volume: 99.50 Å³/cell
# - Formation energy: 504 meV/atom
# - DFT total energy: -5.30 eV/atom
# - Density: 6.17 g cm⁻³
# - SG: R-3m (166)
data_SrSc2Ir
_symmetry_space_group_name_H-M 'P 1'
_symmetry_Int_Tables_number 1
_symmetry_space_group_name_Hall 'P 1'
_cell_length_a 11.186
_cell_length_b 11.186
_cell_length_c 11.186
_cell_angle_alpha 16.59
_cell_angle_beta 16.59
_cell_angle_gamma 16.59
loop_
_atom_site_label
_atom_site_fract_x
_atom_site_fract_y
_atom_site_fract_z
Sc1 0.927 0.927 0.927
Ir1 0.000 0.000 0.000
Sc2 0.073 0.073 0.073
Sr1 0.500 0.500 0.500

=====

5.
# TmSi4Os2, relaxed, DFT PBE
# - Calculated volume: 435.24 Å³/cell
# - DFT total energy: -7.49 eV/atom
# - Density: 10.10 g cm⁻³
# - SG: Pnma (62)
data_TmSi4Os2
_symmetry_space_group_name_H-M 'P 1'
_symmetry_Int_Tables_number 1
_symmetry_space_group_name_Hall 'P 1'
_cell_length_a 4.062
_cell_length_b 6.632
_cell_length_c 16.158
_cell_angle_alpha 90.00
_cell_angle_beta 90.00
_cell_angle_gamma 90.00
loop_
_atom_site_label
_atom_site_fract_x
_atom_site_fract_y
_atom_site_fract_z
Os1 0.750 0.241 0.453
Si1 0.750 0.983 0.052
Tm1 0.750 0.065 0.642
Si2 0.250 0.372 0.022
Si3 0.750 0.517 0.552
Si4 0.250 0.159 0.193
Os2 0.250 0.053 0.800
Si5 0.250 0.725 0.201
Si6 0.750 0.225 0.299
Si7 0.250 0.341 0.693
Os3 0.750 0.947 0.200
Os4 0.750 0.259 0.953
Si8 0.250 0.017 0.948
Os5 0.250 0.447 0.300
Si9 0.750 0.628 0.978
Tm2 0.250 0.565 0.858
Si10 0.250 0.483 0.448
Si11 0.750 0.872 0.478
Si12 0.750 0.841 0.807
Si13 0.750 0.275 0.799
Os6 0.750 0.553 0.700
Tm3 0.750 0.435 0.142
Si14 0.750 0.659 0.307
Si15 0.250 0.775 0.701
Os7 0.250 0.741 0.047
Tm4 0.250 0.935 0.358
Os8 0.250 0.759 0.547
Si16 0.250 0.128 0.522

=====

6.
# ErAlCdS4, relaxed, DFT PBE
# - Calculated volume: 316.53 Å³/cell
# - DFT total energy: -4.93 eV/atom
# - Density: 4.56 g cm⁻³
# - SG: Imma (74)
data_ErAlCdS4
_symmetry_space_group_name_H-M 'P 1'
_symmetry_Int_Tables_number 1
_symmetry_space_group_name_Hall 'P 1'
_cell_length_a 7.536
_cell_length_b 7.662
_cell_length_c 7.662
_cell_angle_alpha 60.49
_cell_angle_beta 60.54
_cell_angle_gamma 60.54
loop_
_atom_site_label
_atom_site_fract_x
_atom_site_fract_y
_atom_site_fract_z
Cd1 0.373 0.377 0.877
Cd2 0.627 0.623 0.123
Al1 0.000 0.000 0.500
S1 0.219 0.774 0.274
S2 0.733 0.774 0.274
Er1 0.000 0.500 0.500
Al2 0.500 0.000 0.500
S3 0.249 0.214 0.288
S4 0.267 0.226 0.726
S5 0.781 0.226 0.726
S6 0.751 0.786 0.712
S7 0.249 0.788 0.714
Er2 0.000 0.000 0.000
S8 0.751 0.212 0.286

=====

7.
# DyThSn2, relaxed, DFT PBE
# - Calculated volume: 110.46 Å³/cell
# - Formation energy: -557 meV/atom
# - DFT total energy: -5.56 eV/atom
# - Density: 9.50 g cm⁻³
# - SG: P4/mmm (123)
data_DyThSn2
_symmetry_space_group_name_H-M 'P 1'
_symmetry_Int_Tables_number 1
_symmetry_space_group_name_Hall 'P 1'
_cell_length_a 4.477
_cell_length_b 4.967
_cell_length_c 4.967
_cell_angle_alpha 90.00
_cell_angle_beta 90.00
_cell_angle_gamma 90.00
loop_
_atom_site_label
_atom_site_fract_x
_atom_site_fract_y
_atom_site_fract_z
Dy1 0.500 0.500 0.500
Sn1 0.000 0.500 0.000
Sn2 0.000 0.000 0.500
Th1 0.500 0.000 0.000

=====

8.
# AcTlGa2, relaxed, DFT PBE
# - Calculated volume: 107.93 Å³/cell
# - Formation energy: -315 meV/atom
# - DFT total energy: -3.45 eV/atom
# - Density: 8.78 g cm⁻³
# - SG: P4/mmm (123)
data_AcTlGa2
_symmetry_space_group_name_H-M 'P 1'
_symmetry_Int_Tables_number 1
_symmetry_space_group_name_Hall 'P 1'
_cell_length_a 4.616
_cell_length_b 4.836
_cell_length_c 4.836
_cell_angle_alpha 90.00
_cell_angle_beta 90.00
_cell_angle_gamma 90.00
loop_
_atom_site_label
_atom_site_fract_x
_atom_site_fract_y
_atom_site_fract_z
Tl1 0.500 0.000 0.000
Ga1 0.000 0.500 0.000
Ga2 0.000 0.000 0.500
Ac1 0.500 0.500 0.500

=====

9.
# Ba2Tl2Rh, relaxed, DFT PBE
# - Calculated volume: 346.78 Å³/cell
# - Formation energy: -304 meV/atom
# - DFT total energy: -3.49 eV/atom
# - Density: 7.53 g cm⁻³
# - SG: P-1 (2)
data_Ba2Tl2Rh
_symmetry_space_group_name_H-M 'P 1'
_symmetry_Int_Tables_number 1
_symmetry_space_group_name_Hall 'P 1'
_cell_length_a 4.314
_cell_length_b 6.906
_cell_length_c 12.449
_cell_angle_alpha 84.96
_cell_angle_beta 80.06
_cell_angle_gamma 71.78
loop_
_atom_site_label
_atom_site_fract_x
_atom_site_fract_y
_atom_site_fract_z
Rh1 0.581 0.139 0.699
Ba1 0.088 0.704 0.118
Rh2 0.419 0.861 0.301
Ba2 0.912 0.296 0.882
Tl1 0.631 0.859 0.879
Ba3 0.285 0.788 0.641
Tl2 0.038 0.327 0.596
Tl3 0.962 0.673 0.404
Ba4 0.715 0.212 0.359
Tl4 0.369 0.141 0.121

=====

10.
# Ca2TbDy3Se6, relaxed, DFT PBE
# - Calculated volume: 295.21 Å³/cell
# - DFT total energy: -5.44 eV/atom
# - Density: 6.75 g cm⁻³
# - SG: C2/m (12)
data_Ca2TbDy3Se6
_symmetry_space_group_name_H-M 'P 1'
_symmetry_Int_Tables_number 1
_symmetry_space_group_name_Hall 'P 1'
_cell_length_a 7.100
_cell_length_b 7.100
_cell_length_c 7.169
_cell_angle_alpha 99.52
_cell_angle_beta 99.52
_cell_angle_gamma 120.04
loop_
_atom_site_label
_atom_site_fract_x
_atom_site_fract_y
_atom_site_fract_z
Se1 0.247 0.247 0.744
Tb1 0.000 0.000 0.000
Dy1 0.500 0.500 0.500
Ca1 0.333 0.667 0.000
Se2 0.584 0.916 0.749
Se3 0.916 0.584 0.749
Dy2 0.830 0.170 0.500
Se4 0.416 0.084 0.251
Dy3 0.170 0.830 0.500
Se5 0.084 0.416 0.251
Ca2 0.667 0.333 0.000
Se6 0.753 0.753 0.256

=====

11.
# CaTiAgP3O12, relaxed, DFT PBE
# - Calculated volume: 492.27 Å³/cell
# - DFT total energy: -7.07 eV/atom
# - Density: 3.24 g cm⁻³
# - SG: R3c (161)
data_CaTiAgP3O12
_symmetry_space_group_name_H-M 'P 1'
_symmetry_Int_Tables_number 1
_symmetry_space_group_name_Hall 'P 1'
_cell_length_a 8.900
_cell_length_b 8.900
_cell_length_c 8.900
_cell_angle_alpha 59.46
_cell_angle_beta 59.46
_cell_angle_gamma 59.46
loop_
_atom_site_label
_atom_site_fract_x
_atom_site_fract_y
_atom_site_fract_z
O1 0.270 0.932 0.043
O2 0.729 0.101 0.919
O3 0.919 0.729 0.101
P1 0.541 0.259 0.950
P2 0.950 0.541 0.259
O4 0.708 0.871 0.503
O5 0.770 0.543 0.432
O6 0.036 0.605 0.792
P3 0.259 0.950 0.541
Ag1 0.350 0.350 0.350
O7 0.292 0.105 0.536
P4 0.450 0.759 0.041
Ag2 0.850 0.850 0.850
O8 0.605 0.792 0.036
O9 0.371 0.208 0.003
O10 0.792 0.036 0.605
O11 0.932 0.043 0.270
O12 0.419 0.601 0.229
O13 0.432 0.770 0.543
O14 0.543 0.432 0.770
O15 0.105 0.536 0.292
O16 0.043 0.270 0.932
P5 0.041 0.450 0.759
Ca1 0.995 0.995 0.995
O17 0.208 0.003 0.371
O18 0.871 0.503 0.708
O19 0.101 0.919 0.729
P6 0.759 0.041 0.450
O20 0.536 0.292 0.105
O21 0.229 0.419 0.601
O22 0.601 0.229 0.419
O23 0.503 0.708 0.871
Ca2 0.495 0.495 0.495
Ti1 0.647 0.647 0.647
Ti2 0.147 0.147 0.147
O24 0.003 0.371 0.208

=====

12.
# Cr3RuBr, relaxed, DFT PBE
# - Calculated volume: 111.06 Å³/cell
# - DFT total energy: -6.84 eV/atom
# - Density: 5.04 g cm⁻³
# - SG: Pm-3m (221)
data_Cr3RuBr
_symmetry_space_group_name_H-M 'P 1'
_symmetry_Int_Tables_number 1
_symmetry_space_group_name_Hall 'P 1'
_cell_length_a 4.807
_cell_length_b 4.807
_cell_length_c 4.807
_cell_angle_alpha 90.00
_cell_angle_beta 90.00
_cell_angle_gamma 90.00
loop_
_atom_site_label
_atom_site_fract_x
_atom_site_fract_y
_atom_site_fract_z
Ru1 0.000 0.000 0.000
Br1 0.500 0.500 0.500
Cr1 0.000 0.000 0.500
Cr2 0.500 0.000 0.000
Cr3 0.000 0.500 0.000

=====

13.
# Y2ScPb, relaxed, DFT PBE
# - Calculated volume: 109.95 Å³/cell
# - Formation energy: -270 meV/atom
# - DFT total energy: -6.01 eV/atom
# - Density: 6.49 g cm⁻³
# - SG: P4/mmm (123)
data_Y2ScPb
_symmetry_space_group_name_H-M 'P 1'
_symmetry_Int_Tables_number 1
_symmetry_space_group_name_Hall 'P 1'
_cell_length_a 4.827
_cell_length_b 4.827
_cell_length_c 4.719
_cell_angle_alpha 90.00
_cell_angle_beta 90.00
_cell_angle_gamma 90.00
loop_
_atom_site_label
_atom_site_fract_x
_atom_site_fract_y
_atom_site_fract_z
Pb1 0.500 0.000 0.500
Sc1 0.000 0.500 0.500
Y1 0.000 0.000 0.000
Y2 0.500 0.500 0.000

=====

14.
# Pm6In3Ge, relaxed, DFT PBE
# - Calculated volume: 616.56 Å³/cell
# - Formation energy: -355 meV/atom
# - DFT total energy: -4.49 eV/atom
# - Density: 6.93 g cm⁻³
# - SG: P2_1/m (11)
data_Pm6In3Ge
_symmetry_space_group_name_H-M 'P 1'
_symmetry_Int_Tables_number 1
_symmetry_space_group_name_Hall 'P 1'
_cell_length_a 3.943
_cell_length_b 11.628
_cell_length_c 14.030
_cell_angle_alpha 106.59
_cell_angle_beta 90.00
_cell_angle_gamma 90.00
loop_
_atom_site_label
_atom_site_fract_x
_atom_site_fract_y
_atom_site_fract_z
In1 0.250 0.623 0.143
Pm1 0.250 0.605 0.912
Pm2 0.750 0.500 0.669
Pm3 0.750 0.395 0.088
Pm4 0.750 0.111 0.450
Ge1 0.750 0.046 0.679
Pm5 0.250 0.165 0.230
Pm6 0.250 0.246 0.669
Pm7 0.250 0.131 0.854
Pm8 0.250 0.500 0.331
Pm9 0.750 0.835 0.770
Ge2 0.250 0.954 0.321
In2 0.750 0.377 0.857
In3 0.250 0.899 0.966
In4 0.750 0.101 0.034
Pm10 0.750 0.869 0.146
Pm11 0.250 0.889 0.550
In5 0.250 0.346 0.481
In6 0.750 0.654 0.519
Pm12 0.750 0.754 0.331

=====

15.
# Ta2ZnCo, relaxed, DFT PBE
# - Calculated volume: 62.69 Å³/cell
# - Formation energy: 289 meV/atom
# - DFT total energy: -7.73 eV/atom
# - Density: 12.88 g cm⁻³
# - SG: F-43m (216)
data_Ta2ZnCo
_symmetry_space_group_name_H-M 'P 1'
_symmetry_Int_Tables_number 1
_symmetry_space_group_name_Hall 'P 1'
_cell_length_a 4.459
_cell_length_b 4.459
_cell_length_c 4.459
_cell_angle_alpha 60.00
_cell_angle_beta 60.00
_cell_angle_gamma 60.00
loop_
_atom_site_label
_atom_site_fract_x
_atom_site_fract_y
_atom_site_fract_z
Zn1 0.750 0.750 0.750
Ta1 0.000 0.000 0.000
Co1 0.500 0.500 0.500
Ta2 0.250 0.250 0.250

=====

16.
# AsHOsPd, relaxed, DFT PBE
# - Calculated volume: 54.17 Å³/cell
# - DFT total energy: -5.96 eV/atom
# - Density: 11.42 g cm⁻³
# - SG: Cm (8)
data_AsHOsPd
_symmetry_space_group_name_H-M 'P 1'
_symmetry_Int_Tables_number 1
_symmetry_space_group_name_Hall 'P 1'
_cell_length_a 3.479
_cell_length_b 3.581
_cell_length_c 5.373
_cell_angle_alpha 90.95
_cell_angle_beta 108.87
_cell_angle_gamma 119.00
loop_
_atom_site_label
_atom_site_fract_x
_atom_site_fract_y
_atom_site_fract_z
As1 0.848 0.431 0.844
H1 0.776 0.882 0.252
Pd1 0.402 0.205 0.177
Os1 0.007 0.999 0.593

=====

17.
# ScMnRu2, relaxed, DFT PBE
# - Calculated volume: 60.45 Å³/cell
# - Formation energy: -32 meV/atom
# - DFT total energy: -8.54 eV/atom
# - Density: 8.30 g cm⁻³
# - SG: P2/m (10)
data_ScMnRu2
_symmetry_space_group_name_H-M 'P 1'
_symmetry_Int_Tables_number 1
_symmetry_space_group_name_Hall 'P 1'
_cell_length_a 2.935
_cell_length_b 4.898
_cell_length_c 5.506
_cell_angle_alpha 49.80
_cell_angle_beta 90.00
_cell_angle_gamma 90.00
loop_
_atom_site_label
_atom_site_fract_x
_atom_site_fract_y
_atom_site_fract_z
Mn1 0.000 0.000 0.500
Ru1 0.500 0.500 0.000
Ru2 0.000 0.000 0.000
Sc1 0.500 0.500 0.500

=====

18.
# Th11Co4Hg9, relaxed, DFT PBE
# - Calculated volume: 602.57 Å³/cell
# - Formation energy: -292 meV/atom
# - DFT total energy: -4.99 eV/atom
# - Density: 12.66 g cm⁻³
# - SG: Cmmm (65)
data_Th11Co4Hg9
_symmetry_space_group_name_H-M 'P 1'
_symmetry_Int_Tables_number 1
_symmetry_space_group_name_Hall 'P 1'
_cell_length_a 3.690
_cell_length_b 13.280
_cell_length_c 13.280
_cell_angle_alpha 112.21
_cell_angle_beta 90.00
_cell_angle_gamma 90.00
loop_
_atom_site_label
_atom_site_fract_x
_atom_site_fract_y
_atom_site_fract_z
Hg1 0.500 0.781 0.921
Hg2 0.500 0.843 0.363
Hg3 0.500 0.637 0.157
Hg4 0.500 0.219 0.079
Co1 0.500 0.249 0.449
Th1 0.000 0.000 0.000
Th2 0.000 0.373 0.627
Th3 0.000 0.158 0.842
Hg5 0.500 0.157 0.637
Th4 0.000 0.314 0.314
Th5 0.000 0.842 0.158
Hg6 0.500 0.363 0.843
Co2 0.500 0.449 0.249
Co3 0.500 0.551 0.751
Co4 0.500 0.751 0.551
Hg7 0.500 0.079 0.219
Th6 0.000 0.579 0.914
Hg8 0.500 0.921 0.781
Hg9 0.500 0.500 0.500
Th7 0.000 0.421 0.086
Th8 0.000 0.686 0.686
Th9 0.000 0.627 0.373
Th10 0.000 0.086 0.421
Th11 0.000 0.914 0.579

=====

19.
# TlMoPS2, relaxed, DFT PBE
# - Calculated volume: 130.34 Å³/cell
# - DFT total energy: -3.85 eV/atom
# - Density: 5.04 g cm⁻³
# - SG: P4/mmm (123)
data_TlMoPS2
_symmetry_space_group_name_H-M 'P 1'
_symmetry_Int_Tables_number 1
_symmetry_space_group_name_Hall 'P 1'
_cell_length_a 5.077
_cell_length_b 5.077
_cell_length_c 5.057
_cell_angle_alpha 90.00
_cell_angle_beta 90.00
_cell_angle_gamma 90.00
loop_
_atom_site_label
_atom_site_fract_x
_atom_site_fract_y
_atom_site_fract_z
S1 0.000 0.500 0.000
Mo1 0.500 0.500 0.500
Tl1 0.000 0.000 0.000
S2 0.500 0.000 0.000
P1 0.000 0.000 0.500

=====

20.
# DyMg2Pd4, relaxed, DFT PBE
# - Calculated volume: 133.28 Å³/cell
# - Formation energy: -564 meV/atom
# - DFT total energy: -4.64 eV/atom
# - Density: 7.93 g cm⁻³
# - SG: I4/mmm (139)
data_DyMg2Pd4
_symmetry_space_group_name_H-M 'P 1'
_symmetry_Int_Tables_number 1
_symmetry_space_group_name_Hall 'P 1'
_cell_length_a 5.596
_cell_length_b 5.596
_cell_length_c 5.596
_cell_angle_alpha 116.63
_cell_angle_beta 106.01
_cell_angle_gamma 106.01
loop_
_atom_site_label
_atom_site_fract_x
_atom_site_fract_y
_atom_site_fract_z
Dy1 0.000 0.000 0.000
Mg1 0.500 0.000 0.500
Pd1 0.000 0.000 0.500
Pd2 0.000 0.500 0.000
Pd3 0.500 0.500 0.500
Pd4 0.500 0.000 0.000
Mg2 0.500 0.500 0.000